# CdBiSb, relaxed, DFT PBE-GGA
data_CdBiSb
_chemical_formula_sum 'Cd1 Bi1 Sb1'
_cell_length_a 5.722
_cell_length_b 5.722
_cell_length_c 5.722
_cell_angle_alpha 136.08
_cell_angle_beta 136.08
_cell_angle_gamma 63.86
_symmetry_space_group_name_H-M 'P 1'
_symmetry_Int_Tables_number 1
loop_
_symmetry_equiv_pos_as_xyz
'x,y,z'
loop_
_atom_site_label
_atom_site_fract_x
_atom_site_fract_y
_atom_site_fract_z
Cd1 0.000 0.000 0.000
Bi1 0.684 0.684 0.000
Sb1 0.312 0.312 0.000
# raw total energy: -8.51 eV for the cell shown
# uncorrected formation energy: 0.137 eV per atom
# polymorph energy (0 for the lowest one): 88.6 meV per atom
# total magnetization: 0.0 Bohr magnetons per cell


# CsUTe3Au, relaxed, DFT PBE-GGA
data_CsUTe3Au
_chemical_formula_sum 'Cs2 U2 Te6 Au2'
_cell_length_a 10.112
_cell_length_b 4.467
_cell_length_c 11.027
_cell_angle_alpha 90.00
_cell_angle_beta 113.68
_cell_angle_gamma 90.00
_symmetry_space_group_name_H-M 'P 1'
_symmetry_Int_Tables_number 1
loop_
_symmetry_equiv_pos_as_xyz
'x,y,z'
loop_
_atom_site_label
_atom_site_fract_x
_atom_site_fract_y
_atom_site_fract_z
Cs1 0.222 0.250 0.259
Cs2 0.778 0.750 0.741
U1 0.315 0.750 0.840
U2 0.685 0.250 0.160
Te1 0.118 0.250 0.866
Te2 0.227 0.750 0.545
Te3 0.467 0.750 0.147
Te4 0.533 0.250 0.853
Te5 0.773 0.250 0.455
Te6 0.882 0.750 0.134
Au1 0.094 0.250 0.606
Au2 0.906 0.750 0.394
# raw total energy: -58.06 eV for the cell shown
# uncorrected formation energy: -0.697 eV per atom
# total magnetization: 4.0 Bohr magnetons per cell


# ScMn2, relaxed, DFT PBE-GGA
data_ScMn2
_chemical_formula_sum 'Sc2 Mn4'
_cell_length_a 3.744
_cell_length_b 3.744
_cell_length_c 7.373
_cell_angle_alpha 90.00
_cell_angle_beta 90.00
_cell_angle_gamma 120.00
_symmetry_space_group_name_H-M 'P 1'
_symmetry_Int_Tables_number 1
loop_
_symmetry_equiv_pos_as_xyz
'x,y,z'
loop_
_atom_site_label
_atom_site_fract_x
_atom_site_fract_y
_atom_site_fract_z
Sc1 0.000 0.000 0.250
Sc2 0.000 0.000 0.750
Mn1 0.333 0.667 0.036
Mn2 0.333 0.667 0.464
Mn3 0.667 0.333 0.536
Mn4 0.667 0.333 0.964
# raw total energy: -48.61 eV for the cell shown
# energy relative to the elements: 0.4 eV/f.u.
# total magnetization: 0.0 Bohr magnetons per cell


# SrTlCl5, relaxed, DFT PBE-GGA
data_SrTlCl5
_chemical_formula_sum 'Sr2 Tl2 Cl10'
_cell_length_a 7.509
_cell_length_b 7.509
_cell_length_c 10.849
_cell_angle_alpha 110.62
_cell_angle_beta 110.62
_cell_angle_gamma 84.76
_symmetry_space_group_name_H-M 'P 1'
_symmetry_Int_Tables_number 1
loop_
_symmetry_equiv_pos_as_xyz
'x,y,z'
loop_
_atom_site_label
_atom_site_fract_x
_atom_site_fract_y
_atom_site_fract_z
Sr1 0.000 0.000 0.000
Sr2 0.000 0.000 0.500
Tl1 0.412 0.588 0.750
Tl2 0.588 0.412 0.250
Cl1 0.067 0.933 0.250
Cl2 0.237 0.361 0.166
Cl3 0.259 0.680 0.540
Cl4 0.320 0.741 0.960
Cl5 0.361 0.237 0.666
Cl6 0.639 0.763 0.334
Cl7 0.680 0.259 0.040
Cl8 0.741 0.320 0.460
Cl9 0.763 0.639 0.834
Cl10 0.933 0.067 0.750
# raw total energy: -45.96 eV for the cell shown
# uncorrected formation energy: -1.385 eV per atom
# total magnetization: 0.2 Bohr magnetons per cell


# Al2AuBr, relaxed, DFT PBE-GGA
data_Al2AuBr
_chemical_formula_sum 'Al2 Au1 Br1'
_cell_length_a 3.341
_cell_length_b 3.341
_cell_length_c 7.292
_cell_angle_alpha 90.00
_cell_angle_beta 90.00
_cell_angle_gamma 90.00
_symmetry_space_group_name_H-M 'P 1'
_symmetry_Int_Tables_number 1
loop_
_symmetry_equiv_pos_as_xyz
'x,y,z'
loop_
_atom_site_label
_atom_site_fract_x
_atom_site_fract_y
_atom_site_fract_z
Al1 0.000 0.000 0.210
Al2 0.000 0.000 0.790
Au1 0.500 0.500 0.000
Br1 0.500 0.500 0.500
# raw total energy: -12.71 eV for the cell shown
# uncorrected formation energy: -0.069 eV per atom
# polymorph energy (0 for the lowest one): 286.1 meV per atom
# total magnetization: 0.0 Bohr magnetons per cell


# Sm3Ga3Pt, relaxed, DFT PBE-GGA
data_Sm3Ga3Pt
_chemical_formula_sum 'Sm6 Ga6 Pt2'
_cell_length_a 5.873
_cell_length_b 5.873
_cell_length_c 14.575
_cell_angle_alpha 108.44
_cell_angle_beta 108.44
_cell_angle_gamma 44.14
_symmetry_space_group_name_H-M 'P 1'
_symmetry_Int_Tables_number 1
loop_
_symmetry_equiv_pos_as_xyz
'x,y,z'
loop_
_atom_site_label
_atom_site_fract_x
_atom_site_fract_y
_atom_site_fract_z
Sm1 0.031 0.031 0.382
Sm2 0.108 0.108 0.925
Sm3 0.239 0.239 0.236
Sm4 0.761 0.761 0.764
Sm5 0.892 0.892 0.075
Sm6 0.969 0.969 0.618
Ga1 0.359 0.359 0.464
Ga2 0.393 0.393 0.923
Ga3 0.471 0.471 0.770
Ga4 0.529 0.529 0.230
Ga5 0.607 0.607 0.077
Ga6 0.641 0.641 0.536
Pt1 0.252 0.252 0.612
Pt2 0.748 0.748 0.388
# raw total energy: -69.57 eV for the cell shown
# energy relative to the elements: -5.5 eV/f.u.
# total magnetization: 0.0 Bohr magnetons per cell


# HfTc2NiI, relaxed, DFT PBE-GGA
data_HfTc2NiI
_chemical_formula_sum 'Hf1 Tc2 Ni1 I1'
_cell_length_a 4.961
_cell_length_b 4.961
_cell_length_c 4.710
_cell_angle_alpha 90.00
_cell_angle_beta 90.00
_cell_angle_gamma 90.00
_symmetry_space_group_name_H-M 'P 1'
_symmetry_Int_Tables_number 1
loop_
_symmetry_equiv_pos_as_xyz
'x,y,z'
loop_
_atom_site_label
_atom_site_fract_x
_atom_site_fract_y
_atom_site_fract_z
Hf1 0.000 0.000 0.000
Tc1 0.000 0.500 0.000
Tc2 0.500 0.000 0.000
Ni1 0.000 0.000 0.500
I1 0.500 0.500 0.500
# raw total energy: -29.84 eV for the cell shown
# uncorrected formation energy: 1.635 eV per atom
# total magnetization: 4.5 Bohr magnetons per cell


# Ni2HgW, relaxed, DFT PBE-GGA
data_Ni2HgW
_chemical_formula_sum 'Ni2 Hg1 W1'
_cell_length_a 4.360
_cell_length_b 4.360
_cell_length_c 4.360
_cell_angle_alpha 60.00
_cell_angle_beta 60.00
_cell_angle_gamma 60.00
_symmetry_space_group_name_H-M 'P 1'
_symmetry_Int_Tables_number 1
loop_
_symmetry_equiv_pos_as_xyz
'x,y,z'
loop_
_atom_site_label
_atom_site_fract_x
_atom_site_fract_y
_atom_site_fract_z
Ni1 0.000 0.000 0.000
Ni2 0.250 0.250 0.250
Hg1 0.750 0.750 0.750
W1 0.500 0.500 0.500
# raw total energy: -22.45 eV for the cell shown
# energy relative to the elements: 2.4 eV/f.u.
# total magnetization: 0.0 Bohr magnetons per cell


# Hf3HgAs, relaxed, DFT PBE-GGA
data_Hf3HgAs
_chemical_formula_sum 'Hf3 Hg1 As1'
_cell_length_a 4.932
_cell_length_b 4.932
_cell_length_c 4.932
_cell_angle_alpha 90.00
_cell_angle_beta 90.00
_cell_angle_gamma 90.00
_symmetry_space_group_name_H-M 'P 1'
_symmetry_Int_Tables_number 1
loop_
_symmetry_equiv_pos_as_xyz
'x,y,z'
loop_
_atom_site_label
_atom_site_fract_x
_atom_site_fract_y
_atom_site_fract_z
Hf1 0.000 0.000 0.500
Hf2 0.000 0.500 0.000
Hf3 0.500 0.000 0.000
Hg1 0.500 0.500 0.500
As1 0.000 0.000 0.000
# raw total energy: -34.04 eV for the cell shown
# energy relative to the elements: 0.8 eV/f.u.
# total magnetization: 0.0 Bohr magnetons per cell


# TmGa3CuIr, relaxed, DFT PBE-GGA
data_TmGa3CuIr
_chemical_formula_sum 'Tm2 Ga6 Cu2 Ir2'
_cell_length_a 6.723
_cell_length_b 6.723
_cell_length_c 5.906
_cell_angle_alpha 90.00
_cell_angle_beta 90.00
_cell_angle_gamma 126.80
_symmetry_space_group_name_H-M 'P 1'
_symmetry_Int_Tables_number 1
loop_
_symmetry_equiv_pos_as_xyz
'x,y,z'
loop_
_atom_site_label
_atom_site_fract_x
_atom_site_fract_y
_atom_site_fract_z
Tm1 0.214 0.786 0.750
Tm2 0.786 0.214 0.250
Ga1 0.211 0.211 0.000
Ga2 0.211 0.211 0.500
Ga3 0.347 0.653 0.250
Ga4 0.653 0.347 0.750
Ga5 0.789 0.789 0.000
Ga6 0.789 0.789 0.500
Cu1 0.438 0.562 0.750
Cu2 0.562 0.438 0.250
Ir1 0.141 0.859 0.250
Ir2 0.859 0.141 0.750
# raw total energy: -56.51 eV for the cell shown
# energy relative to the elements: -1.7 eV/f.u.
# total magnetization: 0.0 Bohr magnetons per cell